A relaxed structure of AgCS2, computed with PBE.

The structure belongs to space group R-3m (No. 166, hexagonal axes); the cell edges are 3.1280, 3.1280 and 21.6445 Å and the angles 90.00°, 90.00° and 120.00°. Symmetry generates all atoms from Ag at (0.0000, 0.0000, 0.0000), C at (0.0000, 0.0000, 0.5000) and S at (0.0000, 0.0000, 0.1121).

As for the uncorrected formation energy: 1.19 eV/atom. For the density of states at the Fermi level, the calculation gives 1.3 states/eV/f.u. The magnetization is 0.0 μB/f.u.

***

A relaxed structure of AgCS2, computed with PBE.

The structure belongs to space group I-42d (No. 122); the cell edges are 5.3134, 5.3134 and 9.7459 Å and the angles 90.00°, 90.00° and 90.00°. Symmetry generates all atoms from Ag at (0.0000, 0.0000, 0.0000), C at (0.0000, 0.0000, 0.5000) and S at (0.1550, 0.2500, 0.6250).

As for the uncorrected formation energy: 0.84 eV/atom. For the density of states at the Fermi level, the calculation gives 1.5 states/eV/f.u. The magnetization is 0.0 μB/f.u.

***

A relaxed structure of AgC3S, computed with PBE.

The structure belongs to space group Pm-3m (No. 221); the cell edges are 3.6845, 3.6845 and 3.6845 Å and the angles 90.00°, 90.00° and 90.00°. Symmetry generates all atoms from Ag at (0.0000, 0.0000, 0.0000), C at (0.0000, 0.5000, 0.5000) and S at (0.5000, 0.5000, 0.5000).

As for the uncorrected formation energy: 2.62 eV/atom. For the density of states at the Fermi level, the calculation gives 1.7 states/eV/f.u. The magnetization is 0.0 μB/f.u.

***

A relaxed structure of Ag2CS, computed with PBE.

The structure belongs to space group I-42d (No. 122); the cell edges are 5.3731, 5.3731 and 10.3724 Å and the angles 90.00°, 90.00° and 90.00°. Symmetry generates all atoms from Ag at (0.1830, 0.2500, 0.1250), C at (0.0000, 0.0000, 0.0000) and S at (0.0000, 0.0000, 0.5000).

As for the uncorrected formation energy: 1.23 eV/atom. For the density of states at the Fermi level, the calculation gives 3.5 states/eV/f.u. The magnetization is 0.0 μB/f.u.

***

A relaxed structure of AgC3S, computed with PBE.

The structure belongs to space group Pm-3m (No. 221); the cell edges are 4.1791, 4.1791 and 4.1791 Å and the angles 90.00°, 90.00° and 90.00°. Symmetry generates all atoms from Ag at (0.0000, 0.0000, 0.0000), C at (0.0000, 0.0000, 0.5000) and S at (0.5000, 0.5000, 0.5000).

As for the uncorrected formation energy: 3.48 eV/atom. For the density of states at the Fermi level, the calculation gives 3.1 states/eV/f.u. The magnetization is 2.0 μB/f.u.

***

A relaxed structure of AgCS2, computed with PBE.

The structure belongs to space group R-3m (No. 166, hexagonal axes); the cell edges are 4.1309, 4.1309 and 17.8017 Å and the angles 90.00°, 90.00° and 120.00°. Symmetry generates all atoms from Ag at (0.0000, 0.0000, 0.0000), C at (0.0000, 0.0000, 0.5000) and S at (0.0000, 0.0000, 0.4111).

As for the uncorrected formation energy: 0.48 eV/atom. For the density of states at the Fermi level, the calculation gives 1.7 states/eV/f.u. The magnetization is 0.0 μB/f.u.

***

A relaxed structure of AgC2S, computed with PBE.

The structure belongs to space group I-42d (No. 122); the cell edges are 4.9333, 4.9333 and 7.5735 Å and the angles 90.00°, 90.00° and 90.00°. Symmetry generates all atoms from Ag at (0.0000, 0.0000, 0.0000), C at (0.1624, 0.2500, 0.6250) and S at (0.0000, 0.0000, 0.5000).

As for the uncorrected formation energy: 1.54 eV/atom. For the density of states at the Fermi level, the calculation gives 2.3 states/eV/f.u. The magnetization is 0.0 μB/f.u.

***

A relaxed structure of Ag2CSeS, computed with PBE.

The structure belongs to space group P4/mmm (No. 123); the cell edges are 5.0292, 5.0292 and 3.5549 Å and the angles 90.00°, 90.00° and 90.00°. Symmetry generates all atoms from Ag at (0.0000, 0.5000, 0.0000), C at (0.0000, 0.0000, 0.0000), Se at (0.5000, 0.5000, 0.5000) and S at (0.0000, 0.0000, 0.5000).

As for the uncorrected formation energy: 0.97 eV/atom. For the density of states at the Fermi level, the calculation gives 2.6 states/eV/f.u. The magnetization is 0.0 μB/f.u.

***

A relaxed structure of Th6AgC3S2, computed with PBE.

The structure belongs to space group C2/m (No. 12); the cell edges are 17.7180, 3.8447 and 8.2283 Å and the angles 90.00°, 108.58° and 90.00°. Symmetry generates all atoms from Th at (0.0118, 0.0000, 0.2169), Th at (0.1601, 0.5000, 0.1005), Th at (0.1786, 0.5000, 0.5608), Ag at (0.0000, 0.5000, 0.5000), C at (0.0000, 0.5000, 0.0000), C at (0.1682, 0.0000, 0.3300) and S at (0.1650, 0.0000, 0.8290).

As for the uncorrected formation energy: -0.81 eV/atom. For the density of states at the Fermi level, the calculation gives 6.6 states/eV/f.u. The magnetization is 0.0 μB/f.u.

***

A relaxed structure of AgSb2C, computed with PBE.

The structure belongs to space group I-42d (No. 122); the cell edges are 5.9377, 5.9377 and 10.4922 Å and the angles 90.00°, 90.00° and 90.00°. Symmetry generates all atoms from Ag at (0.0000, 0.0000, 0.0000), Sb at (0.1848, 0.2500, 0.6250) and C at (0.0000, 0.0000, 0.5000).

As for the uncorrected formation energy: 0.74 eV/atom. For the density of states at the Fermi level, the calculation gives 1.0 states/eV/f.u. The magnetization is 0.0 μB/f.u.

***

A relaxed structure of Ag2SbC, computed with PBE.

The structure belongs to space group Fm-3m (No. 225); the cell edges are 6.5692, 6.5692 and 6.5692 Å and the angles 90.00°, 90.00° and 90.00°. Symmetry generates all atoms from Ag at (0.2500, 0.2500, 0.2500), Sb at (0.0000, 0.0000, 0.0000) and C at (0.0000, 0.0000, 0.5000).

As for the uncorrected formation energy: 1.38 eV/atom. For the density of states at the Fermi level, the calculation gives 1.4 states/eV/f.u. The magnetization is 0.0 μB/f.u.

***

A relaxed structure of Ag2SbC, computed with PBE.

The structure belongs to space group I-42d (No. 122); the cell edges are 4.9298, 4.9298 and 13.4300 Å and the angles 90.00°, 90.00° and 90.00°. Symmetry generates all atoms from Ag at (0.1163, 0.2500, 0.1250), Sb at (0.0000, 0.0000, 0.5000) and C at (0.0000, 0.0000, 0.0000).

As for the uncorrected formation energy: 1.20 eV/atom. For the density of states at the Fermi level, the calculation gives 1.3 states/eV/f.u. The magnetization is 0.0 μB/f.u.